1.
DFT (PBE-GGA) results for a relaxed structure of AcTb6Tm2.

## Properties
Density, g cm⁻³: 7.360
E_form, meV per atom: 396
Fermi-level density of states, states/eV/cell: 14.69
E above lowest polymorph, meV per atom: 321

a = 6.872 Å, b = 6.872 Å, c = 9.270 Å
α = 68.24°, β = 68.24°, γ = 60.00°
Fractional coordinates of all 9 atoms:
Tm (0.574, 0.574, 0.279)
Tb (0.287, 0.774, 0.651)
Tb (0.774, 0.288, 0.651)
Tb (0.049, 0.050, 0.344)
Tb (0.050, 0.557, 0.344)
Tm (0.753, 0.753, 0.741)
Ac (0.334, 0.334, 0.997)
Tb (0.557, 0.049, 0.344)
Tb (0.288, 0.287, 0.651)

=====

2.
DFT (PBE-GGA) results for a relaxed structure of Nd7Sm4Y.

## Properties
Density, g cm⁻³: 6.776
E_form, meV per atom: 12
Fermi-level density of states, states/eV/cell: 17.42
E above lowest polymorph, meV per atom: 0

a = 7.362 Å, b = 9.737 Å, c = 9.123 Å
α = 81.14°, β = 90.02°, γ = 40.96°
Fractional coordinates of all 12 atoms:
Nd (0.971, 0.280, 0.668)
Sm (0.529, 0.721, 0.331)
Sm (0.471, 0.279, 0.669)
Nd (0.779, 0.221, 0.333)
Nd (0.751, 0.500, 0.001)
Y (0.000, 0.000, 0.000)
Sm (0.721, 0.779, 0.667)
Nd (0.029, 0.720, 0.332)
Sm (0.279, 0.221, 0.333)
Nd (0.221, 0.779, 0.667)
Nd (0.249, 0.500, 0.999)
Nd (0.500, 0.000, 0.000)

=====

3.
DFT (PBE-GGA) results for a relaxed structure of Nd2EuLu.

## Properties
Density, g cm⁻³: 7.333
E_form, meV per atom: 126
Fermi-level density of states, states/eV/cell: 6.14
E above lowest polymorph, meV per atom: 87

a = 5.820 Å, b = 5.820 Å, c = 5.820 Å
α = 60.00°, β = 60.00°, γ = 60.00°
Fractional coordinates of all 4 atoms:
Nd (0.250, 0.250, 0.250)
Nd (0.750, 0.750, 0.750)
Eu (0.000, 0.000, 0.000)
Lu (0.500, 0.500, 0.500)

=====

4.
DFT (PBE-GGA) results for a relaxed structure of AcCu2Sn2Au.

## Properties
Density, g cm⁻³: 8.691
E_form, meV per atom: -133
Fermi-level density of states, states/eV/cell: 2.15

a = 5.070 Å, b = 5.070 Å, c = 6.870 Å
α = 111.66°, β = 111.66°, γ = 90.00°
Fractional coordinates of all 6 atoms:
Au (0.000, 0.000, 0.000)
Cu (0.209, 0.209, 0.419)
Sn (0.250, 0.750, 0.500)
Sn (0.750, 0.250, 0.500)
Cu (0.791, 0.791, 0.581)
Ac (0.500, 0.500, 0.000)

=====

5.
DFT (PBE-GGA) results for a relaxed structure of YSc2Mn.

## Properties
Density, g cm⁻³: 4.323
E_form, meV per atom: 277
Fermi-level density of states, states/eV/cell: 5.42
E above lowest polymorph, meV per atom: 190

a = 9.696 Å, b = 9.696 Å, c = 9.696 Å
α = 19.61°, β = 19.61°, γ = 19.61°
Fractional coordinates of all 4 atoms:
Y (0.250, 0.250, 0.250)
Sc (0.480, 0.480, 0.480)
Mn (0.750, 0.750, 0.750)
Sc (0.020, 0.020, 0.020)

=====

6.
DFT (PBE-GGA) results for a relaxed structure of TiMn2FeC.

## Properties
Density, g cm⁻³: 5.230
E_form, meV per atom: 929
Fermi-level density of states, states/eV/cell: 6.84
E above lowest polymorph, meV per atom: 1127

a = 4.492 Å, b = 3.550 Å, c = 4.492 Å
α = 90.00°, β = 90.00°, γ = 90.00°
Fractional coordinates of all 5 atoms:
Mn (0.000, 0.000, 0.500)
C (0.000, 0.500, 0.000)
Fe (0.000, 0.000, 0.000)
Mn (0.500, 0.000, 0.000)
Ti (0.500, 0.500, 0.500)

=====

7.
DFT (PBE-GGA) results for a relaxed structure of Li3YHo2Se6.

## Properties
Density, g cm⁻³: 5.454
Fermi-level density of states, states/eV/cell: 0.00
Uncorrected formation energy, eV/atom: -1.7002

a = 7.031 Å, b = 7.031 Å, c = 6.906 Å
α = 99.77°, β = 99.77°, γ = 120.00°
Fractional coordinates of all 12 atoms:
Se (0.750, 0.750, 0.253)
Li (0.500, 0.500, 0.500)
Se (0.419, 0.084, 0.253)
Se (0.084, 0.419, 0.253)
Se (0.581, 0.916, 0.747)
Y (0.000, 0.000, 0.000)
Ho (0.667, 0.333, 0.000)
Se (0.250, 0.250, 0.747)
Se (0.916, 0.581, 0.747)
Ho (0.333, 0.667, 0.000)
Li (0.833, 0.167, 0.500)
Li (0.167, 0.833, 0.500)

=====

8.
DFT (PBE-GGA) results for a relaxed structure of PmEr5Al3.

## Properties
Density, g cm⁻³: 7.515
E_form, meV per atom: -264
Fermi-level density of states, states/eV/cell: 19.56

a = 6.615 Å, b = 9.052 Å, c = 9.052 Å
α = 120.00°, β = 90.00°, γ = 90.00°
Fractional coordinates of all 18 atoms:
Er (0.250, 0.000, 0.668)
Al (0.750, 0.000, 0.661)
Pm (0.500, 0.000, 0.000)
Al (0.250, 0.339, 0.000)
Al (0.250, 0.000, 0.339)
Er (0.750, 0.000, 0.332)
Er (0.000, 0.667, 0.333)
Er (0.500, 0.333, 0.667)
Er (0.500, 0.667, 0.333)
Er (0.250, 0.332, 0.332)
Er (0.250, 0.668, 0.000)
Er (0.750, 0.332, 0.000)
Al (0.750, 0.339, 0.339)
Er (0.000, 0.333, 0.667)
Al (0.750, 0.661, 0.000)
Er (0.750, 0.668, 0.668)
Pm (0.000, 0.000, 0.000)
Al (0.250, 0.661, 0.661)